No. 1
VASP calculation (PBE) on a relaxed SrHgRu2 crystal.

The space group is I-42d (No. 122) and the conventional cell measures 4.4520, 4.4520 and 19.8368 Å, with angles of 90.00, 90.00 and 90.00 degrees. The inequivalent atoms are Sr at (0.0000, 0.0000, 0.0000), Hg at (0.0000, 0.0000, 0.5000) and Ru at (0.1070, 0.2500, 0.6250).

The formation energy is 0.58 eV per atom. The calculation puts the theoretical density at 8.28 g/cm³.

=====

No. 2
VASP calculation (PBE) on a relaxed UVCo2 crystal.

The space group is P4/mmm (No. 123) and the conventional cell measures 3.8274, 3.8274 and 3.7819 Å, with angles of 90.00, 90.00 and 90.00 degrees. The inequivalent atoms are U at (0.0000, 0.0000, 0.0000), V at (0.5000, 0.5000, 0.0000) and Co at (0.0000, 0.5000, 0.5000).

Its energy above the most stable polymorph in this dataset is 2 meV/atom. The formation energy is -0.03 eV per atom. The calculation puts the theoretical density at 12.19 g/cm³.

=====

No. 3
VASP calculation (PBE) on a relaxed BaLiHgPt crystal.

The space group is Cm (No. 8) and the conventional cell measures 7.9550, 4.6195 and 6.2974 Å, with angles of 90.00, 114.87 and 90.00 degrees. The inequivalent atoms are Ba at (0.0000, 0.0000, 0.0000), Li at (0.4819, 0.0000, 0.4438), Hg at (0.2000, 0.0000, 0.5970) and Pt at (0.2920, 0.5000, 0.3757).

The formation energy is -0.56 eV per atom. The calculation puts the theoretical density at 8.54 g/cm³.

=====

No. 4
VASP calculation (PBE) on a relaxed Li8CuSn2 crystal.

The space group is C2/m (No. 12) and the conventional cell measures 15.1818, 4.6872 and 6.1863 Å, with angles of 90.00, 113.97 and 90.00 degrees. The inequivalent atoms are Li at (0.0001, 0.0000, 0.2351), Li at (0.1464, 0.5000, 0.3880), Li at (0.1457, 0.5000, 0.9052), Li at (0.1820, 0.0000, 0.6826), Cu at (0.0000, 0.5000, 0.5000) and Sn at (0.1823, 0.0000, 0.1821).

The formation energy is -0.23 eV per atom. The calculation puts the theoretical density at 2.94 g/cm³.

=====

No. 5
VASP calculation (PBE) on a relaxed Tl2ZnHg5 crystal.

The space group is P1 (No. 1) and the conventional cell measures 6.5496, 6.6500 and 6.7309 Å, with angles of 61.53, 61.01 and 89.76 degrees. The inequivalent atoms are Tl at (0.0000, 0.0000, 0.0000), Tl at (0.0032, 0.5072, 0.0055), Zn at (0.4893, 0.2376, 0.0009), Hg at (0.0114, 0.0120, 0.4829), Hg at (0.4906, 0.4927, 0.5206), Hg at (0.4913, 0.7585, 0.0014), Hg at (0.5078, 0.0218, 0.4671) and Hg at (0.9721, 0.4879, 0.5373).

The formation energy is 0.04 eV per atom. The calculation puts the theoretical density at 11.39 g/cm³.

=====

No. 6
VASP calculation (PBE) on a relaxed CaPrNd4Se8 crystal.

The space group is R3m (No. 160, hexagonal axes) and the conventional cell measures 8.7117, 8.7117 and 21.3892 Å, with angles of 90.00, 90.00 and 120.00 degrees. The inequivalent atoms are Ca at (0.0000, 0.0000, 0.0000), Pr at (0.0000, 0.0000, 0.3727), Nd at (0.0000, 0.0000, 0.7496), Nd at (0.0055, 0.5028, 0.8755), Se at (0.0000, 0.0000, 0.1328), Se at (0.0000, 0.0000, 0.6165), Se at (0.0206, 0.5103, 0.1280) and Se at (0.1767, 0.3534, 0.9548).

Its formation energy from raw total energies is -173 kJ per mole of atoms. The calculation puts the theoretical density at 4.92 g/cm³.

=====

No. 7
VASP calculation (PBE) on a relaxed TlHF2 crystal.

The space group is P6_3/mmc (No. 194) and the conventional cell measures 4.3423, 4.3423 and 9.9786 Å, with angles of 90.00, 90.00 and 120.00 degrees. The inequivalent atoms are Tl at (0.0000, 0.0000, 0.0000), H at (0.3333, 0.6667, 0.2500) and F at (0.3333, 0.6667, 0.1346).

Its energy above the most stable polymorph in this dataset is 0 meV/atom. The calculation puts the theoretical density at 4.96 g/cm³.

=====

Asked for Fermi-level density of states across the records above, the calculation gives 1.253 1.509 0.305 0.304 0.389 0.290 0.000 states/eV/atom in order.